Density functional theory data (PBE) for a relaxed SrCuPd crystal.

electronic total energy = -3.629 eV/atom
energy above the lowest structure with this stoichiometry = 0.000 eV per atom
symmetry = No. 216

a b c (Å): 4.662 4.662 4.662
angles (deg): 60.00 60.00 60.00
Atoms (fractional coordinates):
Cu (0.000, 0.000, 0.000)
Pd (0.250, 0.250, 0.250)
Sr (0.750, 0.750, 0.750)

=====

Density functional theory data (PBE) for a relaxed Sr2CuPd crystal.

electronic total energy = -3.449 eV/atom
symmetry = No. 11

a b c (Å): 6.156 4.473 8.667
angles (deg): 90.00 110.67 90.00
Atoms (fractional coordinates):
Cu (0.875, 0.750, 0.219)
Cu (0.125, 0.250, 0.781)
Pd (0.124, 0.250, 0.281)
Pd (0.876, 0.750, 0.719)
Sr (0.277, 0.750, 0.071)
Sr (0.718, 0.250, 0.432)
Sr (0.282, 0.750, 0.568)
Sr (0.723, 0.250, 0.929)

=====

Density functional theory data (PBE) for a relaxed SrCuPd2 crystal.

electronic total energy = -4.073 eV/atom
symmetry = No. 216

a b c (Å): 4.758 4.758 4.758
angles (deg): 60.00 60.00 60.00
Atoms (fractional coordinates):
Cu (0.250, 0.250, 0.250)
Pd (0.000, 0.000, 0.000)
Pd (0.750, 0.750, 0.750)
Sr (0.500, 0.500, 0.500)